The following is a DFT calculation (PBE) of a geometry-optimized CsTeH structure.

Computed properties:
Final energy: -18.060 eV per cell
Distance to the lowest polymorph of the same formula: 43 meV per atom

Unit cell a=5.2299 b=6.0228 c=8.4199 alpha=89.15 beta=66.90 gamma=90.04
Closest atoms and distances in Å follow each position.
Fractional coordinates of all 6 atoms:
H1 0.3663 0.7588 0.6092  1 Te 1.69
H2 0.6337 0.2412 0.3908  1 Te 1.69
Te1 0.4949 0.2505 0.2408  1 H 1.69
Te2 0.5051 0.7495 0.7592  1 H 1.69
Cs1 0.9895 0.7491 0.2533  3 H 3.46-3.51
Cs2 0.0105 0.2509 0.7467  3 H 3.46-3.51